Record 1
# NbZnReP2 | Alexandria via LeMat-Bulk | PBE | relaxed
data_NbZnReP2
_symmetry_space_group_name_H-M 'P 1'
_symmetry_Int_Tables_number 1
_symmetry_space_group_name_Hall 'P 1'
_cell_length_a 4.498
_cell_length_b 5.239
_cell_length_c 4.498
_cell_angle_alpha 90.00
_cell_angle_beta 90.00
_cell_angle_gamma 90.00
loop_
_atom_site_label
_atom_site_type_symbol
_atom_site_fract_x
_atom_site_fract_y
_atom_site_fract_z
P1 P 0.000 0.000 0.500
P2 P 0.500 0.000 0.000
Re1 Re 0.000 0.000 0.000
Nb1 Nb 0.000 0.500 0.000
Zn1 Zn 0.500 0.500 0.500
# V   21.20 Å³ per atom
# E_form   763 meV per atom

Record 2
# Nb2P2Rh | Alexandria via LeMat-Bulk | PBE | relaxed
data_Nb2P2Rh
_symmetry_space_group_name_H-M 'P 1'
_symmetry_Int_Tables_number 1
_symmetry_space_group_name_Hall 'P 1'
_cell_length_a 6.636
_cell_length_b 6.636
_cell_length_c 3.398
_cell_angle_alpha 90.00
_cell_angle_beta 90.00
_cell_angle_gamma 90.00
loop_
_atom_site_label
_atom_site_type_symbol
_atom_site_fract_x
_atom_site_fract_y
_atom_site_fract_z
Rh1 Rh 0.000 0.000 0.000
Nb1 Nb 0.655 0.845 0.500
P1 P 0.648 0.148 0.000
Nb2 Nb 0.845 0.345 0.500
P2 P 0.852 0.648 0.000
Rh2 Rh 0.500 0.500 0.000
P3 P 0.352 0.852 0.000
Nb3 Nb 0.345 0.155 0.500
Nb4 Nb 0.155 0.655 0.500
P4 P 0.148 0.352 0.000
# V   14.96 Å³ per atom
# E_form   -683 meV per atom

Record 3
# NbP2Rh2 | Alexandria via LeMat-Bulk | PBE | relaxed
data_NbP2Rh2
_symmetry_space_group_name_H-M 'P 1'
_symmetry_Int_Tables_number 1
_symmetry_space_group_name_Hall 'P 1'
_cell_length_a 7.035
_cell_length_b 7.035
_cell_length_c 2.870
_cell_angle_alpha 90.00
_cell_angle_beta 90.00
_cell_angle_gamma 90.00
loop_
_atom_site_label
_atom_site_type_symbol
_atom_site_fract_x
_atom_site_fract_y
_atom_site_fract_z
P1 P 0.160 0.340 0.000
P2 P 0.660 0.160 0.000
Nb1 Nb 0.500 0.500 0.000
Rh1 Rh 0.646 0.854 0.500
Nb2 Nb 0.000 0.000 0.000
Rh2 Rh 0.146 0.646 0.500
P3 P 0.840 0.660 0.000
P4 P 0.340 0.840 0.000
Rh3 Rh 0.854 0.354 0.500
Rh4 Rh 0.354 0.146 0.500
# V   14.20 Å³ per atom
# E_form   -458 meV per atom

Record 4
# Nb2PRh | Alexandria via LeMat-Bulk | PBE | relaxed
data_Nb2PRh
_symmetry_space_group_name_H-M 'P 1'
_symmetry_Int_Tables_number 1
_symmetry_space_group_name_Hall 'P 1'
_cell_length_a 6.948
_cell_length_b 6.948
_cell_length_c 5.640
_cell_angle_alpha 51.98
_cell_angle_beta 51.98
_cell_angle_gamma 90.00
loop_
_atom_site_label
_atom_site_type_symbol
_atom_site_fract_x
_atom_site_fract_y
_atom_site_fract_z
P1 P 0.250 0.750 0.500
Nb1 Nb 0.375 0.396 0.750
Rh1 Rh 0.000 0.000 0.000
Rh2 Rh 0.750 0.250 0.500
Nb2 Nb 0.875 0.854 0.750
Nb3 Nb 0.146 0.625 0.250
P2 P 0.500 0.500 0.000
Nb4 Nb 0.604 0.125 0.250
# V   16.72 Å³ per atom
# E_form   -227 meV per atom

Record 5
# NbP3Rh | Alexandria via LeMat-Bulk | PBE | relaxed
data_NbP3Rh
_symmetry_space_group_name_H-M 'P 1'
_symmetry_Int_Tables_number 1
_symmetry_space_group_name_Hall 'P 1'
_cell_length_a 4.529
_cell_length_b 4.529
_cell_length_c 4.529
_cell_angle_alpha 90.00
_cell_angle_beta 90.00
_cell_angle_gamma 90.00
loop_
_atom_site_label
_atom_site_type_symbol
_atom_site_fract_x
_atom_site_fract_y
_atom_site_fract_z
Rh1 Rh 0.000 0.000 0.000
P1 P 0.500 0.000 0.000
P2 P 0.000 0.500 0.000
P3 P 0.000 0.000 0.500
Nb1 Nb 0.500 0.500 0.500
# V   18.58 Å³ per atom
# E_form   758 meV per atom

Record 6
# NbPRh2 | Alexandria via LeMat-Bulk | PBE | relaxed
data_NbPRh2
_symmetry_space_group_name_H-M 'P 1'
_symmetry_Int_Tables_number 1
_symmetry_space_group_name_Hall 'P 1'
_cell_length_a 5.396
_cell_length_b 5.396
_cell_length_c 6.771
_cell_angle_alpha 66.52
_cell_angle_beta 66.52
_cell_angle_gamma 90.00
loop_
_atom_site_label
_atom_site_type_symbol
_atom_site_fract_x
_atom_site_fract_y
_atom_site_fract_z
P1 P 0.250 0.750 0.500
Rh1 Rh 0.875 0.833 0.750
Rh2 Rh 0.375 0.417 0.750
Rh3 Rh 0.583 0.125 0.250
Nb1 Nb 0.000 0.000 0.000
Rh4 Rh 0.167 0.625 0.250
P2 P 0.500 0.500 0.000
Nb2 Nb 0.750 0.250 0.500
# V   20.36 Å³ per atom
# E_form   -6 meV per atom

Record 7
# NbP3Rh | Alexandria via LeMat-Bulk | PBE | relaxed
data_NbP3Rh
_symmetry_space_group_name_H-M 'P 1'
_symmetry_Int_Tables_number 1
_symmetry_space_group_name_Hall 'P 1'
_cell_length_a 4.742
_cell_length_b 4.742
_cell_length_c 4.742
_cell_angle_alpha 90.00
_cell_angle_beta 90.00
_cell_angle_gamma 90.00
loop_
_atom_site_label
_atom_site_type_symbol
_atom_site_fract_x
_atom_site_fract_y
_atom_site_fract_z
Nb1 Nb 0.000 0.000 0.000
Rh1 Rh 0.500 0.500 0.500
P1 P 0.500 0.000 0.000
P2 P 0.000 0.500 0.000
P3 P 0.000 0.000 0.500
# V   21.33 Å³ per atom
# E_form   804 meV per atom

Record 8
# NbPRh | Alexandria via LeMat-Bulk | PBE | relaxed
data_NbPRh
_symmetry_space_group_name_H-M 'P 1'
_symmetry_Int_Tables_number 1
_symmetry_space_group_name_Hall 'P 1'
_cell_length_a 3.785
_cell_length_b 6.355
_cell_length_c 7.210
_cell_angle_alpha 90.00
_cell_angle_beta 90.00
_cell_angle_gamma 90.00
loop_
_atom_site_label
_atom_site_type_symbol
_atom_site_fract_x
_atom_site_fract_y
_atom_site_fract_z
Nb1 Nb 0.750 0.969 0.832
P1 P 0.750 0.738 0.125
Rh1 Rh 0.750 0.353 0.062
Rh2 Rh 0.250 0.647 0.938
P2 P 0.250 0.262 0.875
Rh3 Rh 0.250 0.147 0.562
P3 P 0.750 0.238 0.375
Nb2 Nb 0.250 0.031 0.168
Nb3 Nb 0.250 0.531 0.332
P4 P 0.250 0.762 0.625
Rh4 Rh 0.750 0.853 0.438
Nb4 Nb 0.750 0.469 0.668
# V   14.45 Å³ per atom
# E_form   -894 meV per atom

Record 9
# NbPRh | Alexandria via LeMat-Bulk | PBE | relaxed
data_NbPRh
_symmetry_space_group_name_H-M 'P 1'
_symmetry_Int_Tables_number 1
_symmetry_space_group_name_Hall 'P 1'
_cell_length_a 3.832
_cell_length_b 6.316
_cell_length_c 10.798
_cell_angle_alpha 89.62
_cell_angle_beta 90.00
_cell_angle_gamma 90.00
loop_
_atom_site_label
_atom_site_type_symbol
_atom_site_fract_x
_atom_site_fract_y
_atom_site_fract_z
P1 P 0.250 0.760 0.913
P2 P 0.750 0.266 0.750
P3 P 0.750 0.240 0.087
Rh1 Rh 0.750 0.143 0.544
Nb1 Nb 0.250 0.355 0.922
Rh2 Rh 0.250 0.374 0.208
Nb2 Nb 0.250 0.468 0.613
P4 P 0.250 0.734 0.250
Rh3 Rh 0.750 0.019 0.910
P5 P 0.250 0.242 0.416
Rh4 Rh 0.250 0.857 0.456
Nb3 Nb 0.750 0.532 0.387
Nb4 Nb 0.250 0.962 0.716
Nb5 Nb 0.750 0.038 0.284
Rh5 Rh 0.750 0.626 0.792
Rh6 Rh 0.250 0.981 0.090
P6 P 0.750 0.758 0.584
Nb6 Nb 0.750 0.645 0.078
# V   14.52 Å³ per atom
# E_form   -878 meV per atom

Record 10
# NbPRu2Rh | Alexandria via LeMat-Bulk | PBE | relaxed
data_NbPRu2Rh
_symmetry_space_group_name_H-M 'P 1'
_symmetry_Int_Tables_number 1
_symmetry_space_group_name_Hall 'P 1'
_cell_length_a 4.670
_cell_length_b 4.685
_cell_length_c 4.670
_cell_angle_alpha 90.00
_cell_angle_beta 90.00
_cell_angle_gamma 90.00
loop_
_atom_site_label
_atom_site_type_symbol
_atom_site_fract_x
_atom_site_fract_y
_atom_site_fract_z
P1 P 0.000 0.500 0.000
Rh1 Rh 0.500 0.500 0.500
Ru1 Ru 0.500 0.000 0.000
Ru2 Ru 0.000 0.000 0.500
Nb1 Nb 0.000 0.000 0.000
# V   20.44 Å³ per atom
# E_form   1522 meV per atom

Record 11
# NbP2RhS | Alexandria via LeMat-Bulk | PBE | relaxed
data_NbP2RhS
_symmetry_space_group_name_H-M 'P 1'
_symmetry_Int_Tables_number 1
_symmetry_space_group_name_Hall 'P 1'
_cell_length_a 4.456
_cell_length_b 4.456
_cell_length_c 4.275
_cell_angle_alpha 90.00
_cell_angle_beta 90.00
_cell_angle_gamma 90.00
loop_
_atom_site_label
_atom_site_type_symbol
_atom_site_fract_x
_atom_site_fract_y
_atom_site_fract_z
S1 S 0.000 0.000 0.000
Nb1 Nb 0.500 0.500 0.500
Rh1 Rh 0.000 0.000 0.500
P1 P 0.500 0.000 0.000
P2 P 0.000 0.500 0.000
# Formation energy (no corrections)   0.74 eV per atom
# V   16.97 Å³ per atom

Record 12
# NbP2RhS | Alexandria via LeMat-Bulk | PBE | relaxed
data_NbP2RhS
_symmetry_space_group_name_H-M 'P 1'
_symmetry_Int_Tables_number 1
_symmetry_space_group_name_Hall 'P 1'
_cell_length_a 4.481
_cell_length_b 4.481
_cell_length_c 4.653
_cell_angle_alpha 90.00
_cell_angle_beta 90.00
_cell_angle_gamma 90.00
loop_
_atom_site_label
_atom_site_type_symbol
_atom_site_fract_x
_atom_site_fract_y
_atom_site_fract_z
Rh1 Rh 0.000 0.000 0.000
Nb1 Nb 0.500 0.500 0.500
S1 S 0.000 0.000 0.500
P1 P 0.000 0.500 0.000
P2 P 0.500 0.000 0.000
# Formation energy (no corrections)   0.68 eV per atom
# V   18.68 Å³ per atom

no.,final energy (eV for the cell shown)
1,-30.8
2,-83.5
3,-75.8
4,-67.6
5,-29.9
6,-60.4
7,-29.6
8,-102.1
9,-152.8
10,-33.8
11,-28.7
12,-29.0